1.
A relaxed AcTbSm2Ho crystal, computed with PBE.

Cell lengths 6.4282, 5.8779, 9.8359 Å; angles 90.00, 108.80, 90.00 degrees
Closest atoms and distances in Å follow each position.
Positions (direct):
Ac: 0.1366 0.2500 0.1061  4 Tb 3.67-3.83, 3 Ho 3.67-3.88, 3 Sm 3.69-3.70, 2 Ac 3.70
Ac: 0.8634 0.7500 0.8939  4 Tb 3.67-3.83, 3 Ho 3.67-3.88, 3 Sm 3.69-3.70, 2 Ac 3.70
Tb: 0.4782 0.7500 0.1061  4 Sm 3.61-3.80, 2 Tb 3.67, 2 Ho 3.67-3.81, 4 Ac 3.67-3.83
Tb: 0.5218 0.2500 0.8939  4 Sm 3.61-3.80, 2 Tb 3.67, 2 Ho 3.67-3.81, 4 Ac 3.67-3.83
Sm: 0.2657 0.7500 0.6979  3 Ho 3.60-3.62, 3 Tb 3.61-3.80, 4 Sm 3.62-3.75, 2 Ac 3.69-3.70
Sm: 0.3385 0.2500 0.5027  6 Sm 3.61-3.75, 4 Ho 3.62-3.67, 1 Tb 3.64, 1 Ac 3.69
Sm: 0.6615 0.7500 0.4973  6 Sm 3.61-3.75, 4 Ho 3.62-3.67, 1 Tb 3.64, 1 Ac 3.69
Sm: 0.7343 0.2500 0.3021  3 Ho 3.60-3.62, 3 Tb 3.61-3.80, 4 Sm 3.62-3.75, 2 Ac 3.69-3.70
Ho: 0.0666 0.7500 0.3110  7 Sm 3.60-3.67, 2 Tb 3.67-3.81, 3 Ac 3.67-3.88
Ho: 0.9334 0.2500 0.6890  7 Sm 3.60-3.67, 2 Tb 3.67-3.81, 3 Ac 3.67-3.88

* DFT formation energy: 0.04 eV per atom
* M_tot: 0.0 μB per cell
* DOS(E_F): 1.728 states/eV per atom

---

2.
A relaxed LiZr4Si crystal, computed with PBE.

Cell lengths 5.7003, 5.7003, 5.7003 Å; angles 60.00, 60.00, 60.00 degrees
Closest atoms and distances in Å follow each position.
Positions (direct):
Li: 0.0000 0.0000 0.0000  12 Zr 3.34, 4 Si 3.49
Zr: 0.3754 0.3754 0.3754  6 Zr 2.84-2.86
Zr: 0.3754 0.3754 0.8738  6 Zr 2.84-2.86
Zr: 0.3754 0.8738 0.3754  6 Zr 2.84-2.86
Zr: 0.8738 0.3754 0.3754  6 Zr 2.84-2.86
Si: 0.7500 0.7500 0.7500  12 Zr 3.34, 4 Li 3.49

* M_tot: 0.0 μB per cell
* DOS(E_F): 0.928 states/eV per atom
* formation energy without anion corrections: 0.459 eV/atom

---

3.
A relaxed Tb2CeReN4 crystal, computed with PBE.

Cell lengths 6.1189, 6.1189, 11.6805 Å; angles 90.00, 90.00, 147.50 degrees
Closest atoms and distances in Å follow each position.
Positions (direct):
Tb: 0.1311 0.8689 0.5410  5 N 2.33-2.57
Tb: 0.1311 0.8689 0.9590  5 N 2.33-2.57
Tb: 0.8689 0.1311 0.0410  5 N 2.33-2.57
Tb: 0.8689 0.1311 0.4590  5 N 2.33-2.57
Ce: 0.3881 0.6119 0.7500  6 N 2.57-2.62
Ce: 0.6119 0.3881 0.2500  6 N 2.57-2.62
Re: 0.3540 0.6460 0.2500  4 N 1.99-2.04
Re: 0.6460 0.3540 0.7500  4 N 1.99-2.04
N: 0.0511 0.9489 0.7500  2 Re 2.04
N: 0.2327 0.7673 0.1307  1 Re 1.99
N: 0.2327 0.7673 0.3693  1 Re 1.99
N: 0.5000 0.5000 0.0000  4 Tb 2.35
N: 0.5000 0.5000 0.5000  4 Tb 2.35
N: 0.7673 0.2327 0.6307  1 Re 1.99
N: 0.7673 0.2327 0.8693  1 Re 1.99
N: 0.9489 0.0511 0.2500  2 Re 2.04

* M_tot: 0.3 μB per cell
* DOS(E_F): 0.668 states/eV per atom
* formation energy without anion corrections: -1.036 eV/atom

---

4.
A relaxed Rb2NaEuCl6 crystal, computed with PBE.

Cell lengths 7.7094, 7.7094, 7.7094 Å; angles 60.00, 60.00, 60.00 degrees
Closest atoms and distances in Å follow each position.
Positions (direct):
Rb: 0.2500 0.2500 0.2500  12 Cl 3.85
Rb: 0.7500 0.7500 0.7500  12 Cl 3.85
Na: 0.0000 0.0000 0.0000  6 Cl 2.75
Eu: 0.5000 0.5000 0.5000  6 Cl 2.70
Cl: 0.2521 0.2521 0.7479  1 Eu 2.70, 1 Na 2.75
Cl: 0.2521 0.7479 0.2521  1 Eu 2.70, 1 Na 2.75
Cl: 0.2521 0.7479 0.7479  1 Eu 2.70, 1 Na 2.75
Cl: 0.7479 0.2521 0.2521  1 Eu 2.70, 1 Na 2.75
Cl: 0.7479 0.2521 0.7479  1 Eu 2.70, 1 Na 2.75
Cl: 0.7479 0.7479 0.2521  1 Eu 2.70, 1 Na 2.75

* M_tot: 6.0 μB per cell
* DOS(E_F): 0.984 states/eV per atom
* formation energy without anion corrections: -1.904 eV/atom

---

5.
A relaxed InGeBi2 crystal, computed with PBE.

Cell lengths 7.9322, 7.9322, 7.9322 Å; angles 31.03, 31.03, 31.03 degrees
Closest atoms and distances in Å follow each position.
Positions (direct):
In: 0.0000 0.0000 0.0000  6 Bi 3.20
Ge: 0.5000 0.5000 0.5000  6 Bi 2.99
Bi: 0.2426 0.2426 0.2426  3 Ge 2.99, 3 In 3.20
Bi: 0.7574 0.7574 0.7574  3 Ge 2.99, 3 In 3.20

* DFT formation energy: 0.15 eV per atom
* M_tot: 0.0 μB per cell
* DOS(E_F): 0.548 states/eV per atom

---

6.
A relaxed CrSi4Tc crystal, computed with PBE.

Cell lengths 4.7983, 4.7983, 4.7983 Å; angles 60.00, 60.00, 60.00 degrees
Closest atoms and distances in Å follow each position.
Positions (direct):
Cr: 0.0000 0.0000 0.0000  12 Si 2.81, 4 Tc 2.94
Si: 0.1244 0.6252 0.6252  6 Si 2.40
Si: 0.6252 0.1244 0.6252  6 Si 2.40
Si: 0.6252 0.6252 0.1244  6 Si 2.40
Si: 0.6252 0.6252 0.6252  6 Si 2.40
Tc: 0.2500 0.2500 0.2500  12 Si 2.81, 4 Cr 2.94

* energy relative to the lowest polymorph listed for this composition: 812 meV per atom
* M_tot: 2.4 μB per cell
* DOS(E_F): 0.739 states/eV per atom
* formation energy without anion corrections: 0.417 eV/atom